# Sr2MnSi2O7

An optimized crystal structure of Sr2MnSi2O7 (GGA+U, Alexandria).

Geometry as POSCAR:
```
Sr2MnSi2O7
1.0
8.228 0.000 0.000
0.000 8.228 0.000
0.000 0.000 5.227
Sr Mn Si O
4 2 4 14
Direct
0.168 0.332 0.495
0.332 0.832 0.505
0.668 0.168 0.505
0.832 0.668 0.495
0.000 0.000 0.000
0.500 0.500 0.000
0.137 0.637 0.937
0.363 0.137 0.063
0.637 0.863 0.063
0.863 0.363 0.937
0.000 0.500 0.832
0.078 0.804 0.790
0.140 0.640 0.247
0.196 0.078 0.210
0.304 0.578 0.790
0.360 0.140 0.753
0.422 0.304 0.210
0.500 0.000 0.168
0.578 0.696 0.210
0.640 0.860 0.753
0.696 0.422 0.790
0.804 0.922 0.210
0.860 0.360 0.247
0.922 0.196 0.790
```

* Fermi-level density of states: 0.00 states/eV/cell
* total DFT energy (no corrections): -7.5056 eV/atom
* space group: P-42_1m, No. 113